(1)
Computed, not measured: a relaxed structure of ZnCr2W at the PBEsol level of DFT.

a b c (Å): 9.0207 9.0207 9.0207
angles (deg): 16.77 16.77 16.77
Atoms (fractional coordinates):
Zn (0.0000, 0.0000, 0.0000)
Cr (0.2524, 0.2524, 0.2524)
Cr (0.7476, 0.7476, 0.7476)
W (0.5000, 0.5000, 0.5000)

Properties
SG = R-3m (166)
formation enthalpy at 0 K = 0.475 eV per atom

(2)
Computed, not measured: a relaxed structure of ZnCr2W at the PBEsol level of DFT.

a b c (Å): 3.0424 3.0424 5.6457
angles (deg): 90.00 90.00 90.00
Atoms (fractional coordinates):
Zn (0.0000, 0.0000, 0.0000)
Cr (0.5000, 0.5000, 0.2503)
Cr (0.5000, 0.5000, 0.7497)
W (0.0000, 0.0000, 0.5000)

Properties
SG = P4/mmm (123)
formation enthalpy at 0 K = 0.228 eV per atom

(3)
Computed, not measured: a relaxed structure of ZrCrW2 at the PBEsol level of DFT.

a b c (Å): 5.1947 5.1947 5.1947
angles (deg): 144.67 128.20 64.27
Atoms (fractional coordinates):
Zr (0.0000, 0.0000, 0.0000)
Cr (0.2539, 0.7539, 0.5000)
W (0.4879, 0.4879, 0.0000)
W (0.7357, 0.2357, 0.5000)

Properties
ΔE to the lowest computed polymorph = 72.3 meV per atom
SG = Imm2 (44)
formation enthalpy at 0 K = 0.203 eV per atom

(4)
Computed, not measured: a relaxed structure of ZrCrW2 at the PBEsol level of DFT.

a b c (Å): 5.2739 5.2739 5.2739
angles (deg): 145.54 129.86 62.26
Atoms (fractional coordinates):
Zr (0.0000, 0.0000, 0.0000)
Cr (0.5000, 0.5000, 0.0000)
W (0.2636, 0.7636, 0.5000)
W (0.7364, 0.2364, 0.5000)

Properties
ΔE to the lowest computed polymorph = 0.0 meV per atom
SG = Immm (71)
formation enthalpy at 0 K = 0.131 eV per atom

(5)
Computed, not measured: a relaxed structure of ZrCrW at the PBEsol level of DFT.

a b c (Å): 4.3655 4.3655 4.3655
angles (deg): 60.00 60.00 60.00
Atoms (fractional coordinates):
Zr (0.0000, 0.0000, 0.0000)
Cr (0.7500, 0.7500, 0.7500)
W (0.2500, 0.2500, 0.2500)

Properties
ΔE to the lowest computed polymorph = 1644.7 meV per atom
SG = F-43m (216)
formation enthalpy at 0 K = 1.582 eV per atom

(6)
Computed, not measured: a relaxed structure of ZrCr4W at the PBEsol level of DFT.

a b c (Å): 4.8665 4.8665 4.8665
angles (deg): 60.00 60.00 60.00
Atoms (fractional coordinates):
Zr (0.0000, 0.0000, 0.0000)
Cr (0.3756, 0.3756, 0.3756)
Cr (0.3756, 0.3756, 0.8732)
Cr (0.3756, 0.8732, 0.3756)
Cr (0.8732, 0.3756, 0.3756)
W (0.7500, 0.7500, 0.7500)

Properties
SG = F-43m (216)
formation enthalpy at 0 K = 0.024 eV per atom

(7)
Computed, not measured: a relaxed structure of ZrCrW at the PBEsol level of DFT.

a b c (Å): 5.1687 5.1687 5.1687
angles (deg): 120.60 118.62 90.69
Atoms (fractional coordinates):
Zr (0.3728, 0.1228, 0.2500)
Zr (0.6272, 0.8772, 0.7500)
Cr (0.0000, 0.0000, 0.5000)
Cr (0.0000, 0.5000, 0.0000)
W (0.0000, 0.5000, 0.5000)
W (0.5000, 0.5000, 0.0000)

Properties
ΔE to the lowest computed polymorph = 0.0 meV per atom
SG = Imma (74)
formation enthalpy at 0 K = -0.062 eV per atom

(8)
Computed, not measured: a relaxed structure of ZrCr2W at the PBEsol level of DFT.

a b c (Å): 4.3558 4.3558 3.0573
angles (deg): 90.00 90.00 90.00
Atoms (fractional coordinates):
Zr (0.0000, 0.0000, 0.0000)
Cr (0.0000, 0.5000, 0.5000)
Cr (0.5000, 0.0000, 0.5000)
W (0.5000, 0.5000, 0.0000)

Properties
SG = P4/mmm (123)
formation enthalpy at 0 K = 0.176 eV per atom

no.,total moment (Bohr magnetons per cell),total DFT energy (no corrections) (eV/cell)
1,0.00,-34.0
2,2.09,-35.0
3,0.00,-46.1
4,0.00,-46.4
5,1.31,-28.4
6,0.00,-63.7
7,0.00,-66.7
8,0.00,-42.7